No. 1
Here is a relaxed structure of NaTlI2 from Alexandria via LeMat-Bulk. Energies are from PBE.

Results
Formation energy from raw total energies: -0.894 eV per atom
Distance to the lowest polymorph of the same formula: 0.060 eV/atom
Energy: -2.59 eV/atom

a = 7.601 Å, b = 7.601 Å, c = 14.722 Å
α = 90.00°, β = 90.00°, γ = 90.00°
Atoms (fractional coordinates):
Na 0.000 0.000 0.000
Na 0.000 0.500 0.250
Na 0.500 0.000 0.750
Na 0.500 0.500 0.500
Tl 0.000 0.000 0.500
Tl 0.000 0.500 0.750
Tl 0.500 0.000 0.250
Tl 0.500 0.500 0.000
I 0.213 0.250 0.125
I 0.250 0.713 0.375
I 0.250 0.787 0.875
I 0.287 0.250 0.625
I 0.713 0.750 0.625
I 0.750 0.213 0.875
I 0.750 0.287 0.375
I 0.787 0.750 0.125

No. 2
Here is a relaxed structure of SiNi2Te from Alexandria via LeMat-Bulk. Energies are from PBE.

Results
Formation energy from raw total energies: -0.087 eV per atom
Distance to the lowest polymorph of the same formula: 0.129 eV/atom
Energy: -5.12 eV/atom

a = 2.970 Å, b = 3.555 Å, c = 11.920 Å
α = 90.00°, β = 90.00°, γ = 90.00°
Atoms (fractional coordinates):
Si 0.000 0.000 0.000
Si 0.500 0.500 0.500
Ni 0.000 0.000 0.449
Ni 0.000 0.500 0.127
Ni 0.500 0.000 0.627
Ni 0.500 0.500 0.949
Te 0.000 0.500 0.753
Te 0.500 0.000 0.253

The lowest distance to the lowest polymorph of the same formula belongs to which entry? NaTlI2

Look up the distance to the lowest polymorph of the same formula of the first one. 0.060 eV/atom

Please write out number 2 again, unchanged.
Here is a relaxed structure of SiNi2Te from Alexandria via LeMat-Bulk. Energies are from PBE.

Results
Formation energy from raw total energies: -0.087 eV per atom
Distance to the lowest polymorph of the same formula: 0.129 eV/atom
Energy: -5.12 eV/atom

a = 2.970 Å, b = 3.555 Å, c = 11.920 Å
α = 90.00°, β = 90.00°, γ = 90.00°
Atoms (fractional coordinates):
Si 0.000 0.000 0.000
Si 0.500 0.500 0.500
Ni 0.000 0.000 0.449
Ni 0.000 0.500 0.127
Ni 0.500 0.000 0.627
Ni 0.500 0.500 0.949
Te 0.000 0.500 0.753
Te 0.500 0.000 0.253

formation energy from raw total energies of number 1 (NaTlI2)? -0.894 eV per atom